No. 1
An optimized crystal structure of MgZr, computed with PBE.

Computed properties:
* uncorrected energy: -4.97 eV/atom

Lattice parameters (Å, degrees): 8.5054 6.3353 5.0779 90.00 90.00 99.84
With the nearest neighbours (Å) after each atom.
Atoms (fractional coordinates):
1 Mg 0.3268 0.3308 0.0000  7 Zr 3.08-3.27, 5 Mg 3.14-3.19
2 Mg 0.9946 0.4856 0.0000  8 Mg 3.09-3.32, 4 Zr 3.15-3.26
3 Mg 0.3334 0.8357 0.0000  5 Mg 3.09-3.32, 7 Zr 3.12-3.23
4 Mg 0.8888 0.2199 0.5000  5 Mg 3.09-3.32, 7 Zr 3.11-3.23
5 Mg 0.2276 0.5699 0.5000  8 Mg 3.09-3.32, 4 Zr 3.15-3.26
6 Mg 0.8954 0.7247 0.5000  7 Zr 3.08-3.27, 5 Mg 3.14-3.19
7 Zr 0.6508 0.1645 0.0000  7 Zr 3.08-3.31, 5 Mg 3.11-3.26
8 Zr 0.6677 0.6590 0.0000  7 Zr 3.10-3.23, 5 Mg 3.16-3.27
9 Zr 0.9953 0.9884 0.0000  8 Mg 3.08-3.25, 4 Zr 3.18-3.31
10 Zr 0.2269 0.0671 0.5000  8 Mg 3.08-3.25, 4 Zr 3.18-3.31
11 Zr 0.5545 0.3966 0.5000  7 Zr 3.10-3.23, 5 Mg 3.16-3.27
12 Zr 0.5714 0.8911 0.5000  7 Zr 3.08-3.31, 5 Mg 3.11-3.26

***

No. 2
An optimized crystal structure of Mg3Zr4, computed with PBE.

Computed properties:
* ΔE to the lowest computed polymorph: 0.072 eV/atom

Lattice parameters (Å, degrees): 8.4306 8.4306 5.0751 90.00 90.00 60.00
With the nearest neighbours (Å) after each atom.
Atoms (fractional coordinates):
1 Mg 0.1450 0.2816 0.0000  8 Zr 3.09-3.28, 4 Mg 3.11-3.24
2 Mg 0.2877 0.5736 0.0000  8 Zr 3.09-3.28, 4 Mg 3.11-3.24
3 Mg 0.8530 0.7162 0.0000  8 Zr 3.09-3.28, 4 Mg 3.11-3.24
4 Mg 0.3787 0.0994 0.5000  8 Zr 3.09-3.28, 4 Mg 3.11-3.24
5 Mg 0.6709 0.6646 0.5000  8 Zr 3.09-3.28, 4 Mg 3.11-3.24
6 Mg 0.2361 0.8073 0.5000  8 Zr 3.09-3.28, 4 Mg 3.11-3.24
7 Zr 0.5603 0.1577 0.0000  5 Mg 3.09-3.28, 7 Zr 3.14-3.24
8 Zr 0.7291 0.4248 0.0000  5 Mg 3.09-3.28, 7 Zr 3.14-3.24
9 Zr 0.4286 0.8571 0.0000  9 Mg 3.15-3.16, 3 Zr 3.24
10 Zr 0.9963 0.9889 0.0000  5 Mg 3.09-3.28, 7 Zr 3.14-3.24
11 Zr 0.9635 0.2233 0.5000  5 Mg 3.09-3.28, 7 Zr 3.14-3.24
12 Zr 0.5275 0.3920 0.5000  5 Mg 3.09-3.28, 7 Zr 3.14-3.23
13 Zr 0.0952 0.5238 0.5000  9 Mg 3.15-3.16, 3 Zr 3.23-3.24
14 Zr 0.7948 0.9561 0.5000  5 Mg 3.09-3.28, 7 Zr 3.14-3.24

***

No. 3
An optimized crystal structure of MgZr3, computed with PBE.

Computed properties:
* uncorrected energy: -6.77 eV/atom

Lattice parameters (Å, degrees): 5.5428 6.2670 5.1810 90.00 90.00 90.00
With the nearest neighbours (Å) after each atom.
Atoms (fractional coordinates):
1 Mg 0.0021 0.0000 0.0000  12 Zr 3.13-3.20
2 Mg 0.3312 0.5000 0.5000  12 Zr 3.13-3.20
3 Zr 0.5042 0.2515 0.0000  8 Zr 3.11-3.19, 4 Mg 3.17-3.20
4 Zr 0.0068 0.5000 0.0000  4 Mg 3.13-3.15, 8 Zr 3.17-3.19
5 Zr 0.5042 0.7485 0.0000  8 Zr 3.11-3.19, 4 Mg 3.17-3.20
6 Zr 0.3266 0.0000 0.5000  4 Mg 3.13-3.15, 8 Zr 3.17-3.19
7 Zr 0.8291 0.2485 0.5000  8 Zr 3.11-3.19, 4 Mg 3.17-3.20
8 Zr 0.8291 0.7515 0.5000  8 Zr 3.11-3.19, 4 Mg 3.17-3.20

***

No. 4
An optimized crystal structure of Mg2Zr, computed with PBE.

Computed properties:
* uncorrected energy: -2.61 eV/atom

Lattice parameters (Å, degrees): 6.8158 6.8158 4.4380 90.00 90.00 90.00
With the nearest neighbours (Å) after each atom.
Atoms (fractional coordinates):
1 Mg 0.3027 0.3027 0.0000  3 Zr 2.92
2 Mg 0.6973 0.6973 0.0000  3 Zr 2.92
3 Mg 0.8027 0.1973 0.5000  3 Zr 2.92
4 Mg 0.1973 0.8027 0.5000  3 Zr 2.92
5 Zr 0.0000 0.0000 0.0000  6 Mg 2.92
6 Zr 0.5000 0.5000 0.5000  6 Mg 2.92

***

no.,theoretical density (g/cm³)
1,4.3
2,4.7
3,5.5
4,2.3